Record 1
8
Lattice="6.0682 0.0000 0.0000 0.0000 6.0682 0.0000 0.0000 0.0000 6.0682" Properties=species:S:1:pos:R:3 comment="La4Pt3Au (GGA-PBE, optimized geometry)" n_ef_per_ev_atom=0.49 dft_energy_ev_per_atom=-6.197 ef_ev_per_atom=-1.06 sg="Pm-3m, No. 221" magnetic_moment_mub_per_cell=0.00 pbc="T T T"
La 3.0341 3.0341 3.0341
La 3.0341 0.0000 0.0000
La 0.0000 3.0341 0.0000
La 0.0000 0.0000 3.0341
Pt 3.0341 3.0341 0.0000
Pt 3.0341 0.0000 3.0341
Pt 0.0000 3.0341 3.0341
Au 0.0000 0.0000 0.0000

---

Record 2
4
Lattice="4.7273 0.0000 0.0000 0.0000 3.9739 0.0000 0.0000 0.0000 3.9739" Properties=species:S:1:pos:R:3 comment="LaBeW2 (GGA-PBE, optimized geometry)" n_ef_per_ev_atom=1.10 dft_energy_ev_per_atom=-7.668 ef_ev_per_atom=0.97 sg="P4/mmm, No. 123" magnetic_moment_mub_per_cell=0.00 pbc="T T T"
W 0.0000 0.0000 0.0000
W 0.0000 1.9870 1.9870
La 2.3637 0.0000 1.9870
Be 2.3637 1.9870 0.0000

---

Record 3
18
Lattice="9.2579 0.4436 0.3147 4.9578 7.8310 0.3147 4.9578 2.8858 7.2867" Properties=species:S:1:pos:R:3 comment="Ba2CaGa12Pt3 (GGA-PBE, optimized geometry)" n_ef_per_ev_atom=0.61 dft_energy_ev_per_atom=-3.541 ef_ev_per_atom=-0.19 sg="R-3m, No. 166" magnetic_moment_mub_per_cell=0.00 pbc="T T T"
Ga 4.7105 4.5080 1.3262
Ga 7.7037 7.0598 5.0075
Ga 9.9433 5.7878 1.3762
Ga 9.9433 3.2122 5.0075
Ga 9.2301 7.9483 2.9086
Ga 12.9272 9.2908 6.5899
Ga 14.4629 6.6525 6.5899
Ga 14.4629 8.4186 4.0999
Ga 4.7105 2.7419 3.8161
Ga 11.4697 4.1007 2.9086
Ga 9.2301 5.3727 6.5399
Ga 6.2462 1.8697 1.3262
Ba 7.4894 4.3595 3.0921
Ba 11.6840 6.8010 4.8239
Pt 2.4789 3.9155 0.1573
Pt 4.6289 0.2218 0.1573
Pt 2.4789 1.4429 3.6434
Ca 0.0000 0.0000 0.0000

---

Record 4
4
Lattice="0.0000 4.4601 4.4601 4.4601 0.0000 4.4601 4.4601 4.4601 0.0000" Properties=species:S:1:pos:R:3 comment="Sr2LaI (GGA-PBE, optimized geometry)" n_ef_per_ev_atom=1.67 dft_energy_ev_per_atom=-2.421 sg="Fm-3m, No. 225" magnetic_moment_mub_per_cell=1.98 pbc="T T T"
I 0.0000 0.0000 0.0000
Sr 2.2300 2.2300 2.2300
Sr 6.6901 6.6901 6.6901
La 4.4601 4.4601 4.4601

---

Record 5
4
Lattice="3.1435 0.0000 0.0000 0.0000 3.1435 0.0000 0.0000 0.0000 7.8490" Properties=species:S:1:pos:R:3 comment="ZrSc2Fe (GGA-PBE, optimized geometry)" n_ef_per_ev_atom=0.96 dft_energy_ev_per_atom=-7.452 ef_ev_per_atom=-0.03 sg="P4/mmm, No. 123" magnetic_moment_mub_per_cell=0.00 pbc="T T T"
Sc 0.0000 0.0000 7.3771
Sc 0.0000 0.0000 4.3963
Fe 1.5717 1.5717 5.8867
Zr 1.5717 1.5717 1.9622

---

Record 6
4
Lattice="-0.1595 -3.0613 -0.4983 2.3567 0.2052 -2.0153 4.7231 -1.1264 5.4085" Properties=species:S:1:pos:R:3 comment="Al2PtCl (GGA-PBE, optimized geometry)" n_ef_per_ev_atom=0.42 dft_energy_ev_per_atom=-4.301 sg="P4/mmm, No. 123" magnetic_moment_mub_per_cell=0.00 pbc="T T T"
Al 2.5655 -0.6118 2.9378
Al 4.5192 -1.0778 5.1750
Cl 2.2794 -1.7096 0.0953
Pt 4.6409 -2.2729 2.7996